[1]
The following is a GGA-PBE calculation of NaCuSn2 after structural relaxation, from Alexandria via LeMat-Bulk.

```
data_NaCuSn2
_cell_length_a 4.486
_cell_length_b 4.486
_cell_length_c 4.362
_cell_angle_alpha 90.00
_cell_angle_beta 90.00
_cell_angle_gamma 90.00
_space_group_name_H-M_alt 'P 4/m m m'
_space_group_IT_number 123
_space_group_name_Hall '-P 4 2'
loop_
_atom_site_label
_atom_site_type_symbol
_atom_site_fract_x
_atom_site_fract_y
_atom_site_fract_z
_atom_site_occupancy
Na1 Na 0.000 0.000 0.000 1
Cu1 Cu 0.500 0.500 0.000 1
Sn1 Sn 0.000 0.500 0.500 1
```

Output
- Calculated formation energy: 73 meV/atom
- Crystal system: tetragonal
- Total magnetization: 0.00 μB per formula unit

[2]
The following is a GGA-PBE calculation of NaCu2Sn2 after structural relaxation, from Alexandria via LeMat-Bulk.

```
data_NaCu2Sn2
_cell_length_a 4.411
_cell_length_b 4.411
_cell_length_c 11.435
_cell_angle_alpha 90.00
_cell_angle_beta 90.00
_cell_angle_gamma 90.00
_space_group_name_H-M_alt 'I 4/m m m'
_space_group_IT_number 139
_space_group_name_Hall '-I 4 2'
loop_
_atom_site_label
_atom_site_type_symbol
_atom_site_fract_x
_atom_site_fract_y
_atom_site_fract_z
_atom_site_occupancy
Na1 Na 0.000 0.000 0.000 1
Cu1 Cu 0.000 0.500 0.250 1
Sn1 Sn 0.000 0.000 0.373 1
```

Output
- Calculated formation energy: 10 meV/atom
- Energy above the most stable polymorph in this dataset: 29.4 meV/atom
- Crystal system: tetragonal
- Total magnetization: 0.00 μB per formula unit

[3]
The following is a GGA-PBE calculation of NaCu4Sn after structural relaxation, from Alexandria via LeMat-Bulk.

```
data_NaCu4Sn
_cell_length_a 7.174
_cell_length_b 7.174
_cell_length_c 7.174
_cell_angle_alpha 90.00
_cell_angle_beta 90.00
_cell_angle_gamma 90.00
_space_group_name_H-M_alt 'F -4 3 m'
_space_group_IT_number 216
_space_group_name_Hall 'F -4 2 3'
loop_
_atom_site_label
_atom_site_type_symbol
_atom_site_fract_x
_atom_site_fract_y
_atom_site_fract_z
_atom_site_occupancy
Na1 Na 0.000 0.000 0.000 1
Cu1 Cu 0.125 0.125 0.625 1
Sn1 Sn 0.250 0.250 0.250 1
```

Output
- Calculated formation energy: -1 meV/atom
- Crystal system: cubic
- Total magnetization: 0.00 μB per formula unit

[4]
The following is a GGA-PBE calculation of NaCu4Sn12 after structural relaxation, from Alexandria via LeMat-Bulk.

```
data_NaCu4Sn12
_cell_length_a 9.451
_cell_length_b 9.451
_cell_length_c 9.451
_cell_angle_alpha 90.00
_cell_angle_beta 90.00
_cell_angle_gamma 90.00
_space_group_name_H-M_alt 'I m -3'
_space_group_IT_number 204
_space_group_name_Hall '-I 2 2 3'
loop_
_atom_site_label
_atom_site_type_symbol
_atom_site_fract_x
_atom_site_fract_y
_atom_site_fract_z
_atom_site_occupancy
Na1 Na 0.000 0.000 0.000 1
Cu1 Cu 0.250 0.250 0.250 1
Sn1 Sn 0.000 0.339 0.161 1
```

Output
- Calculated formation energy: 30 meV/atom
- Crystal system: cubic
- Total magnetization: 0.00 μB per formula unit

[5]
The following is a GGA-PBE calculation of NaCu2Sn after structural relaxation, from Alexandria via LeMat-Bulk.

```
data_NaCu2Sn
_cell_length_a 4.800
_cell_length_b 4.800
_cell_length_c 17.787
_cell_angle_alpha 90.00
_cell_angle_beta 90.00
_cell_angle_gamma 90.00
_space_group_name_H-M_alt 'I 41/a m d'
_space_group_IT_number 141
loop_
_space_group_symop_operation_xyz
'x,y,z'
'-x,-y,-z'
'-y+1/4,x+3/4,z+1/4'
'y+1/4,-x+3/4,-z+1/4'
'-x+1/2,-y,z+1/2'
'x+1/2,y,-z+1/2'
'y+1/4,-x+1/4,z+3/4'
'-y+1/4,x+1/4,-z+3/4'
'x,-y,-z'
'-x,y,z'
'-y+1/4,-x+1/4,-z+3/4'
'y+1/4,x+1/4,z+3/4'
'-x+1/2,y,-z+1/2'
'x+1/2,-y,z+1/2'
'y+1/4,x+3/4,-z+1/4'
'-y+1/4,-x+3/4,z+1/4'
'x+1/2,y+1/2,z+1/2'
'-x+1/2,-y+1/2,-z+1/2'
'-y+3/4,x+1/4,z+3/4'
'y+3/4,-x+1/4,-z+3/4'
'-x,-y+1/2,z'
'x,y+1/2,-z'
'y+3/4,-x+3/4,z+1/4'
'-y+3/4,x+3/4,-z+1/4'
'x+1/2,-y+1/2,-z+1/2'
'-x+1/2,y+1/2,z+1/2'
'-y+3/4,-x+3/4,-z+1/4'
'y+3/4,x+3/4,z+1/4'
'-x,y+1/2,-z'
'x,-y+1/2,z'
'y+3/4,x+1/4,-z+3/4'
'-y+3/4,-x+1/4,z+3/4'
loop_
_atom_site_label
_atom_site_type_symbol
_atom_site_fract_x
_atom_site_fract_y
_atom_site_fract_z
_atom_site_occupancy
Na1 Na 0.000 0.250 0.375 1
Cu1 Cu 0.000 0.000 0.000 1
Sn1 Sn 0.000 0.250 0.875 1
```

Output
- Calculated formation energy: 223 meV/atom
- Crystal system: tetragonal
- Total magnetization: 0.00 μB per formula unit

[6]
The following is a GGA-PBE calculation of NaCuSn2 after structural relaxation, from Alexandria via LeMat-Bulk.

```
data_NaCuSn2
_cell_length_a 4.617
_cell_length_b 4.617
_cell_length_c 18.996
_cell_angle_alpha 90.00
_cell_angle_beta 90.00
_cell_angle_gamma 90.00
_space_group_name_H-M_alt 'I -4 2 d'
_space_group_IT_number 122
_space_group_name_Hall 'I -4 2bw'
loop_
_atom_site_label
_atom_site_type_symbol
_atom_site_fract_x
_atom_site_fract_y
_atom_site_fract_z
_atom_site_occupancy
Na1 Na 0.000 0.000 0.000 1
Cu1 Cu 0.000 0.000 0.500 1
Sn1 Sn 0.200 0.250 0.625 1
```

Output
- Calculated formation energy: 172 meV/atom
- Crystal system: tetragonal
- Total magnetization: 0.00 μB per formula unit

> Among the records above, which one has the highest calculated formation energy?

NaCu2Sn

> Among the records above, which one has the lowest calculated formation energy?

NaCu4Sn

> calculated formation energy of number 5 (NaCu2Sn)?

223 meV/atom